Record 1
First-principles (PBE) data for crystalline SmAgTe3Pb at its relaxed geometry, as listed in the Open Quantum Materials Database.

Geometry as POSCAR:
```
SmAgTe3Pb
1.0
9.956 -2.189 0.000
9.956 2.189 0.000
-1.928 0.000 8.826
Sm Ag Te Pb
2 2 6 2
Cartesian
3.054 0.000 0.781
14.931 0.000 8.045
7.606 0.000 6.944
10.378 0.000 1.882
0.000 0.000 0.000
5.017 0.000 5.802
6.184 0.000 1.341
8.992 0.000 4.413
11.800 0.000 7.485
12.968 0.000 3.024
1.415 0.000 5.042
16.569 0.000 3.784
```

Values from the calculation:
- Calculated total energy: -4.161 eV per atom

Record 2
First-principles (PBE) data for crystalline SmAgTe3Pb at its relaxed geometry, as listed in the Open Quantum Materials Database.

Geometry as POSCAR:
```
SmAgTe3Pb
1.0
14.739 0.000 0.000
0.000 4.391 0.000
0.000 0.000 11.827
Sm Ag Te Pb
4 4 12 4
Cartesian
0.119 1.098 2.079
7.250 3.294 7.992
7.489 1.098 3.834
14.620 3.294 9.747
0.100 3.294 4.887
7.269 1.098 10.800
7.470 3.294 1.026
14.639 1.098 6.939
1.667 1.098 11.134
1.797 3.294 7.309
2.191 3.294 2.955
5.178 1.098 8.868
5.573 1.098 1.395
5.702 3.294 5.220
9.037 1.098 6.606
9.167 3.294 10.431
9.561 3.294 2.959
12.548 1.098 8.872
12.942 1.098 4.518
13.072 3.294 0.693
3.212 1.098 5.258
4.158 3.294 11.172
10.582 1.098 0.655
11.527 3.294 6.568
```

Values from the calculation:
- Calculated total energy: -4.186 eV per atom

Record 3
First-principles (PBE) data for crystalline SmAgTe3Pb at its relaxed geometry, as listed in the Open Quantum Materials Database.

Geometry as POSCAR:
```
SmAgTe3Pb
1.0
9.142 0.000 0.000
0.000 4.611 0.000
0.000 0.000 17.998
Sm Ag Te Pb
4 4 12 4
Cartesian
2.169 1.153 0.625
2.402 3.458 9.624
6.740 1.153 8.374
6.973 3.458 17.374
1.074 1.153 6.539
3.497 3.458 15.538
5.645 1.153 2.461
8.067 3.458 11.460
0.263 1.153 10.548
1.018 3.458 16.845
1.815 1.153 3.811
2.756 3.458 12.810
3.553 1.153 7.846
4.308 3.458 1.549
4.834 1.153 16.450
5.589 3.458 10.153
6.386 1.153 5.188
7.326 3.458 14.187
8.124 1.153 1.153
8.879 3.458 7.450
0.639 1.153 13.738
3.932 3.458 4.739
5.210 1.153 13.260
8.503 3.458 4.261
```

Values from the calculation:
- Calculated total energy: -4.145 eV per atom

Record 4
First-principles (PBE) data for crystalline SmAgTe3Pb at its relaxed geometry, as listed in the Open Quantum Materials Database.

Geometry as POSCAR:
```
SmAgTe3Pb
1.0
8.421 0.000 0.000
0.000 4.391 0.000
-2.966 0.000 10.334
Sm Ag Te Pb
2 2 6 2
Cartesian
1.174 1.098 1.741
4.281 3.294 8.593
2.289 3.294 4.241
3.167 1.098 6.094
-1.903 1.098 8.912
0.445 1.098 4.792
3.384 3.294 1.645
2.071 1.098 8.689
5.010 3.294 5.542
7.358 3.294 1.423
-0.055 3.294 7.253
5.510 1.098 3.082
```

Values from the calculation:
- Calculated total energy: -4.179 eV per atom